A relaxed structure of NaEuLuIn. Source: the Alexandria database, functional PBE-GGA.

- symmetry = F-43m, No. 216
- energy relative to the elements (kcal/mol of atoms) = -2.31

abc: 5.5030 5.5030 5.5030
angles: 60.00 60.00 60.00
Element x y z (fractional)
Eu  0.7500  0.7500  0.7500
In  0.5000  0.5000  0.5000
Lu  0.2500  0.2500  0.2500
Na  0.0000  0.0000  0.0000



A relaxed structure of LiAl5Pd2. Source: the Alexandria database, functional PBE-GGA.

- symmetry = Immm, No. 71
- energy relative to the elements (kcal/mol of atoms) = -10.60

abc: 3.0569 6.7227 6.7227
angles: 76.56 76.86 76.86
Element x y z (fractional)
Al  0.3648  0.8611  0.4093
Al  0.3648  0.4093  0.8611
Al  0.6352  0.5907  0.1389
Al  0.0000  0.5000  0.5000
Al  0.6352  0.1389  0.5907
Pd  0.7518  0.7482  0.7482
Pd  0.2482  0.2518  0.2518
Li  0.0000  0.0000  0.0000



A relaxed structure of PmSc2Cl. Source: the Alexandria database, functional PBE-GGA.

- symmetry = R-3m, No. 166
- energy relative to the elements, uncorrected (eV/atom) = -0.3099

abc: 3.3149 3.3149 10.5390
angles: 80.95 80.95 60.00
Element x y z (fractional)
Cl  0.5000  0.5000  0.5000
Sc  0.1024  0.1024  0.6927
Sc  0.8976  0.8976  0.3073
Pm  0.0000  0.0000  0.0000



A relaxed structure of CeSm2PuSb4. Source: the Alexandria database, functional PBE-GGA.

- symmetry = P2/m, No. 10
- energy relative to the elements, uncorrected (eV/atom) = -1.0020

abc: 4.4700 7.7301 7.7423
angles: 109.49 90.00 90.00
Element x y z (fractional)
Sb  0.0000  0.2497  0.7516
Sb  0.0000  0.7503  0.2484
Sb  0.5000  0.2478  0.2471
Sb  0.5000  0.7522  0.7529
Pu  0.0000  0.0000  0.0000
Sm  0.5000  0.0000  0.5000
Sm  0.0000  0.5000  0.5000
Ce  0.5000  0.5000  0.0000



A relaxed structure of La12Sm2Ho5. Source: the Alexandria database, functional PBE-GGA.

- symmetry = C2/m, No. 12
- energy relative to the elements (kcal/mol of atoms) = 2.33

abc: 11.8325 8.9081 9.5647
angles: 70.06 90.00 131.62
Element x y z (fractional)
La  0.9530  0.4282  0.1875
La  0.8445  0.2085  0.5937
La  0.3640  0.2085  0.5937
La  0.9011  0.8023  0.9213
La  0.5248  0.5718  0.8125
La  0.1555  0.7915  0.4063
La  0.0989  0.1977  0.0787
La  0.6360  0.7915  0.4063
La  0.4752  0.4282  0.1875
La  0.4367  0.8734  0.7749
La  0.0470  0.5718  0.8125
La  0.5633  0.1266  0.2251
Ho  0.6962  0.3923  0.7679
Ho  0.7824  0.5648  0.3620
Ho  0.0000  0.0000  0.5000
Ho  0.2176  0.4352  0.6380
Ho  0.3038  0.6077  0.2321
Sm  0.2861  0.0000  0.0000
Sm  0.7139  0.0000  0.0000



A relaxed structure of KAuIN2. Source: the Alexandria database, functional PBE-GGA.

- symmetry = P4/mmm, No. 123
- energy relative to the elements, uncorrected (eV/atom) = 2.3759

abc: 4.6795 4.6795 7.3328
angles: 90.00 90.00 90.00
Element x y z (fractional)
N  0.5000  0.0000  0.0000
N  0.0000  0.5000  0.0000
I  0.0000  0.0000  0.5000
Au  0.5000  0.5000  0.5000
K  0.0000  0.0000  0.0000